Entry 1:
K2AlCu | PBE | optimized geometry

```
data_K2AlCu
_chemical_formula_sum 'K2 Al1 Cu1'
_symmetry_space_group_name_H-M 'P 1'
_symmetry_Int_Tables_number 1
_cell_length_a 4.1002
_cell_length_b 4.6295
_cell_length_c 6.7151
_cell_angle_alpha 90.00
_cell_angle_beta 90.47
_cell_angle_gamma 90.00
loop_
_symmetry_equiv_pos_as_xyz
'x,y,z'
loop_
_atom_site_label
_atom_site_fract_x
_atom_site_fract_y
_atom_site_fract_z
K1 0.0030 0.0000 0.2608
K2 0.9970 0.0000 0.7392
Al1 0.5000 0.5000 0.0000
Cu1 0.5000 0.5000 0.5000
```

Summary:
Space group = No. 10
DFT total energy = -8.0 eV per cell
Mass density = 2.2 g cm⁻³
D(E_F) = 0.478 states/eV per atom
Energy of formation = 0.5189 eV per atom
Magnetization = 0.000 μB per atom

Entry 2:
Y3RuC3 | PBE | optimized geometry

```
data_Y3RuC3
_chemical_formula_sum 'Y6 Ru2 C6'
_symmetry_space_group_name_H-M 'P 1'
_symmetry_Int_Tables_number 1
_cell_length_a 6.8022
_cell_length_b 6.8022
_cell_length_c 5.0962
_cell_angle_alpha 90.00
_cell_angle_beta 90.00
_cell_angle_gamma 100.55
loop_
_symmetry_equiv_pos_as_xyz
'x,y,z'
loop_
_atom_site_label
_atom_site_fract_x
_atom_site_fract_y
_atom_site_fract_z
Y1 0.1078 0.8922 0.7500
Y2 0.1646 0.4044 0.7500
Y3 0.4044 0.1646 0.2500
Y4 0.5956 0.8354 0.7500
Y5 0.8354 0.5956 0.2500
Y6 0.8922 0.1078 0.2500
Ru1 0.3064 0.6936 0.2500
Ru2 0.6936 0.3064 0.7500
C1 0.1210 0.8790 0.2500
C2 0.1681 0.4187 0.2500
C3 0.4187 0.1681 0.7500
C4 0.5813 0.8319 0.2500
C5 0.8319 0.5813 0.7500
C6 0.8790 0.1210 0.7500
```

Summary:
Space group = No. 63
DFT total energy = -117.0 eV per cell
Mass density = 5.8 g cm⁻³
D(E_F) = 0.651 states/eV per atom
Energy of formation = -0.3086 eV per atom
Magnetization = 0.000 μB per atom

Entry 3:
Th2Al3Ga4 | PBE | optimized geometry

```
data_Th2Al3Ga4
_chemical_formula_sum 'Th4 Al6 Ga8'
_symmetry_space_group_name_H-M 'P 1'
_symmetry_Int_Tables_number 1
_cell_length_a 8.2659
_cell_length_b 8.2659
_cell_length_c 7.9555
_cell_angle_alpha 90.00
_cell_angle_beta 90.00
_cell_angle_gamma 137.70
loop_
_symmetry_equiv_pos_as_xyz
'x,y,z'
loop_
_atom_site_label
_atom_site_fract_x
_atom_site_fract_y
_atom_site_fract_z
Th1 0.1139 0.8861 0.9127
Th2 0.3861 0.6139 0.4127
Th3 0.6139 0.3861 0.5873
Th4 0.8861 0.1139 0.0873
Al1 0.0000 0.0000 0.5000
Al2 0.0326 0.4674 0.7500
Al3 0.4674 0.0326 0.2500
Al4 0.5000 0.5000 0.0000
Al5 0.5326 0.9674 0.7500
Al6 0.9674 0.5326 0.2500
Ga1 0.1821 0.8179 0.5392
Ga2 0.1995 0.3005 0.7500
Ga3 0.3005 0.1995 0.2500
Ga4 0.3179 0.6821 0.0392
Ga5 0.6821 0.3179 0.9608
Ga6 0.6995 0.8005 0.7500
Ga7 0.8005 0.6995 0.2500
Ga8 0.8179 0.1821 0.4608
```

Summary:
Space group = No. 64
DFT total energy = -84.1 eV per cell
Mass density = 7.5 g cm⁻³
D(E_F) = 0.357 states/eV per atom
Energy of formation = -0.4330 eV per atom
Magnetization = 0.000 μB per atom

Entry 4:
AcAs4O12 | PBE | optimized geometry

```
data_AcAs4O12
_chemical_formula_sum 'Ac1 As4 O12'
_symmetry_space_group_name_H-M 'P 1'
_symmetry_Int_Tables_number 1
_cell_length_a 6.3735
_cell_length_b 6.3735
_cell_length_c 6.3735
_cell_angle_alpha 109.47
_cell_angle_beta 109.47
_cell_angle_gamma 109.47
loop_
_symmetry_equiv_pos_as_xyz
'x,y,z'
loop_
_atom_site_label
_atom_site_fract_x
_atom_site_fract_y
_atom_site_fract_z
Ac1 0.0000 0.0000 0.0000
As1 0.0000 0.0000 0.5000
As2 0.0000 0.5000 0.0000
As3 0.5000 0.0000 0.0000
As4 0.5000 0.5000 0.5000
O1 0.0869 0.7999 0.2870
O2 0.2001 0.2870 0.4871
O3 0.2001 0.7130 0.9131
O4 0.2870 0.0869 0.7999
O5 0.2870 0.4871 0.2001
O6 0.4871 0.2001 0.2870
O7 0.5129 0.7999 0.7130
O8 0.7130 0.5129 0.7999
O9 0.7130 0.9131 0.2001
O10 0.7999 0.2870 0.0869
O11 0.7999 0.7130 0.5129
O12 0.9131 0.2001 0.7130
```

Summary:
Space group = No. 204
DFT total energy = -101.3 eV per cell
Mass density = 6.0 g cm⁻³
D(E_F) = 0.793 states/eV per atom
Magnetization = 0.000 μB per atom